Record 1
VASP calculation (PBE-GGA) on SrTmPbAu after structural relaxation.

Magnetic moment ... 0.00 μB/cell
N(E_F) ... 5.5 states/eV per cell
Calculated volume ... 27.96 Å³/atom
Energy of formation from the pure elements ... -0.575 eV/atom

Structure (POSCAR):
```
SrTmPbAu
1.0
7.648 0.000 0.000
0.000 7.648 0.000
0.000 0.000 7.648
Sr Tm Pb Au
4 4 4 4
direct
0.000 0.000 0.000
0.000 0.500 0.500
0.500 0.000 0.500
0.500 0.500 0.000
0.000 0.000 0.500
0.000 0.500 0.000
0.500 0.000 0.000
0.500 0.500 0.500
0.250 0.250 0.250
0.250 0.750 0.750
0.750 0.250 0.750
0.750 0.750 0.250
0.250 0.250 0.750
0.250 0.750 0.250
0.750 0.250 0.250
0.750 0.750 0.750
```

***

Record 2
VASP calculation (PBE-GGA) on SrVPbAu2 after structural relaxation.

Magnetic moment ... 0.27 μB/cell
N(E_F) ... 13.2 states/eV per cell
Calculated volume ... 34.72 Å³/atom
Energy of formation from the pure elements ... 1.166 eV/atom

Structure (POSCAR):
```
SrVPbAu2
1.0
5.338 0.000 0.000
0.000 5.338 0.000
0.000 0.000 6.094
Sr V Pb Au
1 1 1 2
direct
0.000 0.000 0.000
0.500 0.500 0.000
0.000 0.000 0.500
0.000 0.500 0.500
0.500 0.000 0.500
```

***

Record 3
VASP calculation (PBE-GGA) on Sr2Zn3PbAu4 after structural relaxation.

Magnetic moment ... 0.00 μB/cell
N(E_F) ... 4.6 states/eV per cell
Calculated volume ... 23.45 Å³/atom
Energy of formation from the pure elements ... -0.473 eV/atom

Structure (POSCAR):
```
Sr2Zn3PbAu4
1.0
4.564 0.000 0.000
0.000 4.564 0.000
0.000 0.000 11.259
Sr Zn Pb Au
2 3 1 4
direct
0.000 0.500 0.237
0.500 0.000 0.763
0.000 0.500 0.883
0.500 0.000 0.117
0.500 0.500 0.500
0.000 0.000 0.500
0.000 0.000 0.000
0.000 0.500 0.656
0.500 0.000 0.344
0.500 0.500 0.000
```

***

Record 4
VASP calculation (PBE-GGA) on SrZn2PbAu5 after structural relaxation.

Magnetic moment ... 0.00 μB/cell
N(E_F) ... 3.0 states/eV per cell
Calculated volume ... 21.82 Å³/atom
Energy of formation from the pure elements ... -0.253 eV/atom

Structure (POSCAR):
```
SrZn2PbAu5
1.0
4.924 0.000 0.000
0.000 4.924 0.000
0.000 0.000 8.099
Sr Zn Pb Au
1 2 1 5
direct
0.000 0.000 0.000
0.500 0.500 0.344
0.500 0.500 0.656
0.000 0.000 0.500
0.000 0.500 0.246
0.000 0.500 0.754
0.500 0.000 0.246
0.500 0.000 0.754
0.500 0.500 0.000
```